# TlVMoF6

A geometry-optimized TlVMoF6 structure (GGA+U, Alexandria).

Properties
Total moment   12.00 μB per cell
Space-group type   No. 163
Final energy   -50.18 eV per formula unit
D(E_F)   0.000 states/eV/cell

Cell: 5.7060 5.7060 12.0302 Å, 90.00 90.00 120.00°
Last column: nearest neighbours and their distance in Å.
Atoms (fractional coordinates):
Tl 0.0000 0.0000 0.0000  6 F 2.83
Tl 0.0000 0.0000 0.5000  6 F 2.83
V 0.3333 0.6667 0.2500  6 F 2.14
V 0.6667 0.3333 0.7500  6 F 2.14
Mo 0.6667 0.3333 0.2500  6 F 2.11
Mo 0.3333 0.6667 0.7500  6 F 2.11
F 0.6347 0.6313 0.1577  1 Mo 2.11, 1 V 2.14
F 0.9965 0.3653 0.1577  1 Mo 2.11, 1 V 2.14
F 0.3653 0.9965 0.6577  1 Mo 2.11, 1 V 2.14
F 0.0035 0.6347 0.8423  1 Mo 2.11, 1 V 2.14
F 0.3687 0.3653 0.3423  1 Mo 2.11, 1 V 2.14
F 0.9965 0.6313 0.3423  1 Mo 2.11, 1 V 2.14
F 0.6313 0.9965 0.8423  1 Mo 2.11, 1 V 2.14
F 0.6347 0.0035 0.3423  1 Mo 2.11, 1 V 2.14
F 0.0035 0.3687 0.6577  1 Mo 2.11, 1 V 2.14
F 0.3687 0.0035 0.1577  1 Mo 2.11, 1 V 2.14
F 0.6313 0.6347 0.6577  1 Mo 2.11, 1 V 2.14
F 0.3653 0.3687 0.8423  1 Mo 2.11, 1 V 2.14